1.
Al7Ag | PBE | relaxed

Summary:
total DFT energy (no corrections) = -3.63 eV per atom
D(E_F) = 2.14 states/eV per cell
ΔE to the lowest computed polymorph = 0.008 eV/atom
formation enthalpy at 0 K = 0.00 eV per atom

Unit cell a=4.9352 b=2.8918 c=9.4892 alpha=90.00 beta=100.46 gamma=90.00
Space group P2/m (No. 10)
One atom of each set of equivalent atoms:
Al: 0.0000 0.0000 0.0000 [1 per cell]
Al: 0.0000 0.5000 0.5000 [1 per cell]
Al: 0.2469 0.0000 0.7485 [2 per cell]
Al: 0.2483 0.5000 0.2520 [2 per cell]
Al: 0.5000 0.0000 0.5000 [1 per cell]
Ag: 0.5000 0.5000 0.0000 [1 per cell]



2.
Al2CuCl | PBE | relaxed

Summary:
total DFT energy (no corrections) = -3.58 eV per atom
D(E_F) = 1.00 states/eV per cell
ΔE to the lowest computed polymorph = 0.000 eV/atom
formation energy (no corrections) = -226 meV per atom

Unit cell a=2.9254 b=3.1725 c=7.1373 alpha=90.00 beta=90.00 gamma=90.00
Space group Pmmm (No. 47)
One atom of each set of equivalent atoms:
Al: 0.0000 0.0000 0.2059 [2 per cell]
Cu: 0.5000 0.5000 0.0000 [1 per cell]
Cl: 0.0000 0.5000 0.5000 [1 per cell]



3.
Ta3GeRu | PBE | relaxed

Summary:
total DFT energy (no corrections) = -8.81 eV per atom
D(E_F) = 6.83 states/eV per cell
ΔE to the lowest computed polymorph = 0.000 eV/atom
formation enthalpy at 0 K = 1.08 eV per atom

Unit cell a=4.8259 b=4.8259 c=4.8259 alpha=90.00 beta=90.00 gamma=90.00
Space group Pm-3m (No. 221)
One atom of each set of equivalent atoms:
Ta: 0.0000 0.0000 0.5000 [3 per cell]
Ge: 0.5000 0.5000 0.5000 [1 per cell]
Ru: 0.0000 0.0000 0.0000 [1 per cell]



4.
DyY3Zn2 | PBE | relaxed

Summary:
total DFT energy (no corrections) = -4.65 eV per atom
D(E_F) = 6.76 states/eV per cell
ΔE to the lowest computed polymorph = 0.011 eV/atom
formation enthalpy at 0 K = -0.23 eV per atom

Unit cell a=3.5793 b=3.5793 c=12.2036 alpha=90.00 beta=90.00 gamma=90.00
Space group P4/mmm (No. 123)
One atom of each set of equivalent atoms:
Dy: 0.0000 0.0000 0.0000 [1 per cell]
Y: 0.5000 0.5000 0.2094 [2 per cell]
Y: 0.5000 0.5000 0.5000 [1 per cell]
Zn: 0.0000 0.0000 0.3548 [2 per cell]



5.
PmCdH6Ir2 | PBE | relaxed

Summary:
total DFT energy (no corrections) = -4.62 eV per atom
D(E_F) = 5.76 states/eV per cell

Unit cell a=4.7237 b=4.7237 c=15.8381 alpha=90.00 beta=90.00 gamma=120.00
Space group R-3m (No. 166, hexagonal axes)
One atom of each set of equivalent atoms:
Pm: 0.0000 0.0000 0.0000 [3 per cell]
Cd: 0.0000 0.0000 0.5000 [3 per cell]
H: 0.0281 0.5141 0.9459 [18 per cell]
Ir: 0.0000 0.0000 0.2122 [6 per cell]



6.
Hf5Ni2H12 | PBE | relaxed

Summary:
total DFT energy (no corrections) = -5.65 eV per atom
D(E_F) = 10.59 states/eV per cell

Unit cell a=9.4532 b=5.4561 c=6.4494 alpha=90.00 beta=100.63 gamma=90.00
Space group C2/m (No. 12)
One atom of each set of equivalent atoms:
Hf: 0.0000 0.0000 0.0000 [2 per cell]
Hf: 0.1550 0.5000 0.8655 [4 per cell]
Hf: 0.2274 0.5000 0.3417 [4 per cell]
Ni: 0.0000 0.2313 0.5000 [4 per cell]
H: 0.0220 0.5000 0.3466 [4 per cell]
H: 0.0355 0.0000 0.6723 [4 per cell]
H: 0.1697 0.2413 0.1036 [8 per cell]
H: 0.1739 0.3149 0.5920 [8 per cell]



7.
ZrIn2Sb | PBE | relaxed

Summary:
total DFT energy (no corrections) = -4.64 eV per atom
D(E_F) = 2.54 states/eV per cell
formation energy (no corrections) = -103 meV per atom

Unit cell a=4.3254 b=4.3254 c=5.1150 alpha=90.00 beta=90.00 gamma=90.00
Space group P4/mmm (No. 123)
One atom of each set of equivalent atoms:
Zr: 0.0000 0.0000 0.0000 [1 per cell]
In: 0.0000 0.5000 0.5000 [2 per cell]
Sb: 0.5000 0.5000 0.0000 [1 per cell]



8.
Ti3PdPt | PBE | relaxed

Summary:
total DFT energy (no corrections) = -6.62 eV per atom
D(E_F) = 10.25 states/eV per cell
ΔE to the lowest computed polymorph = 0.921 eV/atom
formation enthalpy at 0 K = 0.36 eV per atom

Unit cell a=4.7539 b=4.7539 c=4.7539 alpha=90.00 beta=90.00 gamma=90.00
Space group Pm-3m (No. 221)
One atom of each set of equivalent atoms:
Ti: 0.0000 0.0000 0.5000 [3 per cell]
Pd: 0.5000 0.5000 0.5000 [1 per cell]
Pt: 0.0000 0.0000 0.0000 [1 per cell]



no.,spin magnetization (Bohr magnetons per cell)
1,0.00
2,0.00
3,0.00
4,0.00
5,0.00
6,0.00
7,0.00
8,0.00